Computed, not measured: an optimized crystal structure of ScTiIr2 at the PBE level of DFT.

Values from the calculation:
Calculated density   11.4 g/cm3
Calculated total energy   -8.38 eV/atom
Energy of formation from the pure elements   -0.3967 eV per atom

The structure in CIF format:
```
data_ScTiIr2
_cell_length_a 6.997
_cell_length_b 6.997
_cell_length_c 5.697
_cell_angle_alpha 90.00
_cell_angle_beta 90.00
_cell_angle_gamma 90.00
_symmetry_space_group_name_H-M 'I -4 2 d'
_symmetry_Int_Tables_number 122
_symmetry_space_group_name_Hall 'I -4 2bw'
loop_
_atom_site_label
_atom_site_type_symbol
_atom_site_fract_x
_atom_site_fract_y
_atom_site_fract_z
Sc1 Sc 0.000 0.000 0.000
Ti1 Ti 0.000 0.000 0.500
Ir1 Ir 0.226 0.250 0.625
```

Computed, not measured: an optimized crystal structure of Dy5ErIn4 at the PBE level of DFT.

Values from the calculation:
Calculated density   8.7 g/cm3
Calculated total energy   -4.23 eV/atom
Energy of formation from the pure elements   -0.3744 eV per atom

The structure in CIF format:
```
data_Dy5ErIn4
_cell_length_a 3.567
_cell_length_b 3.567
_cell_length_c 21.660
_cell_angle_alpha 90.00
_cell_angle_beta 90.00
_cell_angle_gamma 90.00
_symmetry_space_group_name_H-M 'P 4/m m m'
_symmetry_Int_Tables_number 123
_symmetry_space_group_name_Hall '-P 4 2'
loop_
_atom_site_label
_atom_site_type_symbol
_atom_site_fract_x
_atom_site_fract_y
_atom_site_fract_z
Dy1 Dy 0.000 0.000 0.000
Dy2 Dy 0.000 0.000 0.194
Dy3 Dy 0.000 0.000 0.387
Er1 Er 0.500 0.500 0.500
In1 In 0.500 0.500 0.097
In2 In 0.500 0.500 0.290
```

Computed, not measured: an optimized crystal structure of Tb3DyIr4 at the PBE level of DFT.

Values from the calculation:
Calculated density   14.4 g/cm3
Calculated total energy   -7.53 eV/atom
Energy of formation from the pure elements   -0.7923 eV per atom

The structure in CIF format:
```
data_Tb3DyIr4
_cell_length_a 3.593
_cell_length_b 4.753
_cell_length_c 9.507
_cell_angle_alpha 90.00
_cell_angle_beta 90.00
_cell_angle_gamma 90.00
_symmetry_space_group_name_H-M 'P m m m'
_symmetry_Int_Tables_number 47
loop_
_symmetry_equiv_pos_as_xyz
'x,y,z'
'-x,-y,-z'
'-x,-y,z'
'x,y,-z'
'x,-y,-z'
'-x,y,z'
'-x,y,-z'
'x,-y,z'
loop_
_atom_site_label
_atom_site_type_symbol
_atom_site_fract_x
_atom_site_fract_y
_atom_site_fract_z
Tb1 Tb 0.000 0.000 0.000
Tb2 Tb 0.000 0.500 0.250
Dy1 Dy 0.000 0.000 0.500
Ir1 Ir 0.500 0.000 0.251
Ir2 Ir 0.500 0.500 0.000
Ir3 Ir 0.500 0.500 0.500
```

Computed, not measured: an optimized crystal structure of FeGeRu3 at the PBE level of DFT.

Values from the calculation:
Calculated density   8.1 g/cm3
Calculated total energy   -6.59 eV/atom
Energy of formation from the pure elements   1.5930 eV per atom

The structure in CIF format:
```
data_FeGeRu3
_cell_length_a 4.451
_cell_length_b 4.451
_cell_length_c 4.451
_cell_angle_alpha 90.00
_cell_angle_beta 90.00
_cell_angle_gamma 90.00
_symmetry_space_group_name_H-M 'P m -3 m'
_symmetry_Int_Tables_number 221
_symmetry_space_group_name_Hall '-P 4 2 3'
loop_
_atom_site_label
_atom_site_type_symbol
_atom_site_fract_x
_atom_site_fract_y
_atom_site_fract_z
Fe1 Fe 0.000 0.000 0.000
Ge1 Ge 0.500 0.500 0.500
Ru1 Ru 0.000 0.500 0.500
```